Entry 1:
VASP calculation (PBE-GGA) on SrHfMg2Tc after structural relaxation.

Calculated values
total moment = 0.0 Bohr magnetons per cell
space-group type = P4/mmm
density of states at the Fermi level = 1.115 states/eV per atom
calculated total energy = -16.131 eV for the cell shown

Cell and atoms, written as extended XYZ:
```
5
Lattice="5.2005 0.0000 0.0000 0.0000 5.2005 0.0000 0.0000 0.0000 4.7210" Properties=species:S:1:pos:R:3 pbc="T T T"
Sr 0.0000 0.0000 0.0000
Hf 2.6002 2.6002 2.3605
Mg 0.0000 2.6002 0.0000
Mg 2.6002 0.0000 0.0000
Tc 0.0000 0.0000 2.3605
```


Entry 2:
VASP calculation (PBE-GGA) on ErThAu4 after structural relaxation.

Calculated values
total moment = 0.0 Bohr magnetons per cell
space-group type = Imm2
density of states at the Fermi level = 0.687 states/eV per atom
distance to the lowest polymorph of the same formula = 0.25 eV/f.u.

Cell and atoms, written as extended XYZ:
```
6
Lattice="-2.3585 3.4434 4.1373 2.3585 -3.4434 4.1373 2.3585 3.4434 -4.1373" Properties=species:S:1:pos:R:3 pbc="T T T"
Er 0.0000 0.0000 0.0000
Th 2.3585 0.0000 3.8751
Au 2.3585 1.5841 -1.5053
Au 2.3585 1.7912 1.2305
Au 0.0000 1.8593 2.6320
Au 0.0000 1.6522 5.3677
```